Entry 1:
Compound: InReRu4
Source: Alexandria
Functional: PBE
Structure: relaxed

The total DFT energy (no corrections) is -49.14 eV for the cell shown. The value obtained for the magnetic moment is 0.00 μB/atom. Its crystal system is cubic.

a b c (Å): 5.102 5.102 5.102
angles (deg): 60.00 60.00 60.00
Element x y z (fractional)
In (0.000, 0.000, 0.000)
Re (0.750, 0.750, 0.750)
Ru (0.375, 0.375, 0.375)
Ru (0.375, 0.375, 0.875)
Ru (0.375, 0.875, 0.375)
Ru (0.875, 0.375, 0.375)

=====

Entry 2:
Compound: InReRu3
Source: Alexandria
Functional: PBE
Structure: relaxed

The total DFT energy (no corrections) is -36.17 eV for the cell shown. The value obtained for the magnetic moment is 0.00 μB/atom. Its crystal system is cubic.

a b c (Å): 4.689 4.689 4.689
angles (deg): 90.00 90.00 90.00
Element x y z (fractional)
In (0.000, 0.000, 0.000)
Re (0.500, 0.500, 0.500)
Ru (0.000, 0.500, 0.500)
Ru (0.500, 0.000, 0.500)
Ru (0.500, 0.500, 0.000)

=====

Entry 3:
Compound: In2ReRu
Source: Alexandria
Functional: PBE
Structure: relaxed

The total DFT energy (no corrections) is -25.18 eV for the cell shown. The value obtained for the magnetic moment is 0.00 μB/atom. Its crystal system is monoclinic. As for the offset from the most stable computed form: 0.388 eV/atom.

a b c (Å): 4.774 4.774 5.285
angles (deg): 100.05 100.05 36.26
Element x y z (fractional)
In (0.248, 0.248, 0.245)
In (0.752, 0.752, 0.755)
Re (0.000, 0.000, 0.500)
Ru (0.500, 0.500, 0.000)

=====

Entry 4:
Compound: In2ReRu
Source: Alexandria
Functional: PBE
Structure: relaxed

The total DFT energy (no corrections) is -24.94 eV for the cell shown. The value obtained for the magnetic moment is 0.04 μB/atom. Its crystal system is orthorhombic. As for the offset from the most stable computed form: 0.446 eV/atom.

a b c (Å): 2.931 2.931 9.093
angles (deg): 90.00 90.00 115.29
Element x y z (fractional)
In (0.000, 0.000, 0.242)
In (0.000, 0.000, 0.758)
Re (0.500, 0.500, 0.500)
Ru (0.500, 0.500, 0.000)

=====

Ordered formation enthalpy at 0 K results: 0.525 1.369 0.506 0.565; unit eV per atom.